The following is a PBE calculation of a relaxed structure of DyTlZn2, from Alexandria.

a b c (Å): 4.9461 4.9461 4.9461
angles (deg): 60.00 60.00 60.00
Positions (direct):
Tl (0.5000, 0.5000, 0.5000)
Zn (0.2500, 0.2500, 0.2500)
Zn (0.7500, 0.7500, 0.7500)
Dy (0.0000, 0.0000, 0.0000)

Summary:
- E_tot (Ry per atom) = -0.1856
- calculated formation energy (eV per atom) = -0.15